No. 1
The following is a DFT calculation (PBE) of a geometry-optimized LiSc2Re structure.

Unit cell a=5.223 b=5.223 c=5.223 alpha=134.45 beta=134.45 gamma=66.38
Element x y z (fractional)
Li 0.500 0.500 0.000
Re 0.750 0.250 0.500
Sc 0.000 0.000 0.000
Sc 0.250 0.750 0.500

magnetization = 0.00 μB per formula unit
calculated density = 6.58 Mg/m³
E_form = 0.1774 eV per atom

=====

No. 2
The following is a DFT calculation (PBE) of a geometry-optimized La3Sc structure.

Unit cell a=3.500 b=6.754 c=6.754 alpha=117.08 beta=99.95 gamma=99.95
Element x y z (fractional)
La 0.000 0.000 0.000
La 0.500 0.500 0.000
La 0.000 0.500 0.500
Sc 0.500 0.000 0.500

magnetization = 0.00 μB per formula unit
calculated density = 5.72 Mg/m³
E_form = 0.1668 eV per atom

=====

No. 3
The following is a DFT calculation (PBE) of a geometry-optimized Cs2NbBr2 structure.

Unit cell a=10.312 b=10.312 c=4.021 alpha=90.00 beta=90.00 gamma=90.00
Each line ends with the local moment (μB).
Element x y z (fractional)
Cs 0.358 0.858 0.000  0.02
Cs 0.858 0.642 0.000  0.02
Cs 0.642 0.142 0.000  0.02
Cs 0.142 0.358 0.000  0.02
Nb 0.000 0.000 0.000  3.26
Nb 0.500 0.500 0.000  3.26
Br 0.155 0.655 0.500  0.04
Br 0.655 0.845 0.500  0.04
Br 0.845 0.345 0.500  0.04
Br 0.345 0.155 0.500  0.04

magnetization = 4.91 μB per formula unit
formation energy without anion corrections = -49 kJ/mol of formula units
calculated density = 4.03 Mg/m³

=====

No. 4
The following is a DFT calculation (PBE) of a geometry-optimized U2Si3Tc structure.

Unit cell a=5.383 b=5.383 c=8.027 alpha=90.00 beta=90.00 gamma=120.00
Each line ends with the local moment (μB).
Element x y z (fractional)
U 0.667 0.333 0.406  1.20
U 0.333 0.667 0.594  1.20
U 0.333 0.667 0.906  1.20
U 0.667 0.333 0.094  1.20
Si 0.170 0.340 0.250  -0.01
Si 0.340 0.170 0.750  -0.01
Si 0.830 0.660 0.750  -0.01
Si 0.170 0.830 0.250  -0.01
Si 0.830 0.170 0.750  -0.01
Si 0.660 0.830 0.250  -0.01
Tc 0.000 0.000 0.500  -0.02
Tc 0.000 0.000 0.000  -0.02

magnetization = 2.57 μB per formula unit
formation energy without anion corrections = -271 kJ/mol of formula units
calculated density = 10.86 Mg/m³

=====

No. 5
The following is a DFT calculation (PBE) of a geometry-optimized InNiAs2 structure.

Unit cell a=4.612 b=5.122 c=4.334 alpha=69.50 beta=74.01 gamma=113.00
Element x y z (fractional)
As 0.000 0.000 0.000
As 0.000 0.500 0.500
In 0.500 0.500 0.000
Ni 0.500 0.000 0.500

magnetization = 0.00 μB per formula unit
calculated density = 6.93 Mg/m³
E_form = 0.2336 eV per atom

=====

No. 6
The following is a DFT calculation (PBE) of a geometry-optimized BaY2Tl structure.

Unit cell a=11.518 b=11.518 c=11.518 alpha=19.05 beta=19.05 gamma=19.05
Element x y z (fractional)
Ba 0.250 0.250 0.250
Tl 0.750 0.750 0.750
Y 0.014 0.014 0.014
Y 0.486 0.486 0.486

magnetization = 0.00 μB per formula unit
calculated density = 6.06 Mg/m³
E_form = -0.0038 eV per atom